(1)
The following is a DFT calculation (PBEsol) of crystalline LiFeHg2 at its relaxed geometry.

abc: 4.573 4.573 4.573
angles: 60.00 60.00 60.00
Site moments in Bohr magnetons follow the coordinates.
Sites, in units of the cell vectors:
1 Hg 0.000 0.000 0.000  0.00
2 Hg 0.750 0.750 0.750  -0.01
3 Fe 0.500 0.500 0.500  2.92
4 Li 0.250 0.250 0.250  -0.01

Computed properties:
theoretical density = 11.4 g/cm³
calculated total energy = -2.783 eV/atom
E_form = 0.233 eV/atom

***

(2)
The following is a DFT calculation (PBEsol) of crystalline AsWSe2O at its relaxed geometry.

abc: 4.772 4.772 4.900
angles: 90.00 90.00 90.00
Site moments in Bohr magnetons follow the coordinates.
Sites, in units of the cell vectors:
1 O 0.500 0.500 0.500  1.00
2 Se 0.500 0.000 0.000  0.05
3 Se 0.000 0.500 0.000  0.05
4 As 0.000 0.000 0.500  -0.01
5 W 0.000 0.000 0.000  -0.06

Computed properties:
theoretical density = 6.4 g/cm³
calculated total energy = -5.575 eV/atom
energy relative to the elements, uncorrected = 77.01 kJ per mole of atoms

***

(3)
The following is a DFT calculation (PBEsol) of crystalline MnReSeBr2 at its relaxed geometry.

abc: 4.683 5.157 5.157
angles: 90.00 90.00 90.00
Site moments in Bohr magnetons follow the coordinates.
Sites, in units of the cell vectors:
1 Br 0.000 0.500 0.000  0.01
2 Br 0.000 0.000 0.500  0.01
3 Mn 0.500 0.500 0.500  4.71
4 Re 0.000 0.000 0.000  -0.74
5 Se 0.500 0.000 0.000  0.03

Computed properties:
theoretical density = 6.4 g/cm³
calculated total energy = -5.357 eV/atom
energy relative to the elements, uncorrected = 75.19 kJ per mole of atoms

***

(4)
The following is a DFT calculation (PBEsol) of crystalline TlTcBr2 at its relaxed geometry.

abc: 5.134 5.138 5.134
angles: 60.03 90.00 119.97
Site moments in Bohr magnetons follow the coordinates.
Sites, in units of the cell vectors:
1 Tc 0.500 0.000 0.500  3.44
2 Tl 0.000 0.000 0.000  0.03
3 Br 0.250 0.500 0.250  0.08
4 Br 0.750 0.500 0.750  0.08

Computed properties:
theoretical density = 8.0 g/cm³
polymorph energy (0 for the lowest one) = 207 kJ/mol of formula units
calculated total energy = -3.840 eV/atom
energy relative to the elements, uncorrected = 54.93 kJ per mole of atoms

***

(5)
The following is a DFT calculation (PBEsol) of crystalline Mn2CdMo at its relaxed geometry.

abc: 3.049 3.049 6.271
angles: 90.00 90.00 90.00
Site moments in Bohr magnetons follow the coordinates.
Sites, in units of the cell vectors:
1 Cd 0.500 0.500 0.500  -0.04
2 Mo 0.500 0.500 0.000  -0.73
3 Mn 0.000 0.000 0.211  2.26
4 Mn 0.000 0.000 0.789  2.26

Computed properties:
theoretical density = 9.1 g/cm³
calculated total energy = -7.828 eV/atom
E_form = 0.293 eV/atom

***

(6)
The following is a DFT calculation (PBEsol) of crystalline FeTcCl2 at its relaxed geometry.

abc: 2.833 3.948 5.430
angles: 90.00 90.00 90.00
Site moments in Bohr magnetons follow the coordinates.
Sites, in units of the cell vectors:
1 Tc 0.000 0.500 0.500  0.15
2 Fe 0.500 0.500 0.000  2.92
3 Cl 0.500 0.000 0.500  0.01
4 Cl 0.000 0.000 0.000  0.10

Computed properties:
theoretical density = 6.1 g/cm³
polymorph energy (0 for the lowest one) = 0 kJ/mol of formula units
calculated total energy = -5.482 eV/atom
energy relative to the elements, uncorrected = 55.91 kJ per mole of atoms

***

(7)
The following is a DFT calculation (PBEsol) of crystalline Y2MgS4 at its relaxed geometry.

abc: 7.812 7.812 7.812
angles: 60.00 60.00 60.00
Sites, in units of the cell vectors:
1 S 0.880 0.880 0.361
2 S 0.880 0.361 0.880
3 S 0.370 0.370 0.889
4 S 0.889 0.370 0.370
5 S 0.370 0.889 0.370
6 S 0.370 0.370 0.370
7 S 0.880 0.880 0.880
8 S 0.361 0.880 0.880
9 Y 0.625 0.125 0.125
10 Y 0.125 0.125 0.125
11 Y 0.125 0.625 0.125
12 Y 0.125 0.125 0.625
13 Mg 0.500 0.500 0.500
14 Mg 0.750 0.750 0.750

Computed properties:
theoretical density = 3.3 g/cm³
polymorph energy (0 for the lowest one) = 14 kJ/mol of formula units
calculated total energy = -6.614 eV/atom
energy relative to the elements, uncorrected = -184.72 kJ per mole of atoms

***

(8)
The following is a DFT calculation (PBEsol) of crystalline HfFeN2O at its relaxed geometry.

abc: 3.534 3.663 3.663
angles: 90.00 90.00 90.00
Site moments in Bohr magnetons follow the coordinates.
Sites, in units of the cell vectors:
1 Hf 0.500 0.500 0.500  0.10
2 O 0.500 0.000 0.000  0.06
3 N 0.000 0.000 0.500  0.09
4 N 0.000 0.500 0.000  0.09
5 Fe 0.000 0.000 0.000  1.84

Computed properties:
theoretical density = 9.7 g/cm³
calculated total energy = -9.034 eV/atom
energy relative to the elements, uncorrected = -65.60 kJ per mole of atoms

***

(9)
The following is a DFT calculation (PBEsol) of crystalline Sr5ZnCd4 at its relaxed geometry.

abc: 3.936 3.936 19.756
angles: 90.00 90.00 90.00
Sites, in units of the cell vectors:
1 Sr 0.500 0.500 0.500
2 Sr 0.500 0.500 0.906
3 Sr 0.500 0.500 0.094
4 Sr 0.500 0.500 0.703
5 Sr 0.500 0.500 0.297
6 Cd 0.000 0.000 0.601
7 Cd 0.000 0.000 0.399
8 Cd 0.000 0.000 0.196
9 Cd 0.000 0.000 0.804
10 Zn 0.000 0.000 0.000

Computed properties:
theoretical density = 5.2 g/cm³
calculated total energy = -1.840 eV/atom
E_form = -0.283 eV/atom

***

(10)
The following is a DFT calculation (PBEsol) of crystalline FeSbSe2 at its relaxed geometry.

abc: 3.425 3.425 8.484
angles: 78.29 78.29 60.15
Site moments in Bohr magnetons follow the coordinates.
Sites, in units of the cell vectors:
1 Sb 0.000 0.000 0.000  -0.01
2 Fe 0.500 0.500 0.500  0.92
3 Se 0.886 0.886 0.346  0.04
4 Se 0.114 0.114 0.654  0.04

Computed properties:
theoretical density = 6.6 g/cm³
calculated total energy = -5.454 eV/atom
energy relative to the elements, uncorrected = -14.35 kJ per mole of atoms

***

(11)
The following is a DFT calculation (PBEsol) of crystalline Mg2MoPb at its relaxed geometry.

abc: 2.995 5.395 5.395
angles: 115.20 90.00 90.00
Sites, in units of the cell vectors:
1 Mg 0.000 0.500 0.000
2 Mg 0.000 0.000 0.500
3 Mo 0.500 0.000 0.000
4 Pb 0.500 0.500 0.500

Computed properties:
theoretical density = 7.4 g/cm³
calculated total energy = -4.400 eV/atom
E_form = 0.400 eV/atom

***

(12)
The following is a DFT calculation (PBEsol) of crystalline Lu3Ni7B2 at its relaxed geometry.

abc: 4.927 4.927 14.041
angles: 90.00 90.00 120.00
Sites, in units of the cell vectors:
1 Ni 0.166 0.332 0.147
2 Ni 0.834 0.166 0.853
3 Ni 0.332 0.166 0.647
4 Ni 0.332 0.166 0.853
5 Ni 0.834 0.166 0.647
6 Ni 0.834 0.668 0.853
7 Ni 0.834 0.668 0.647
8 Ni 0.166 0.834 0.147
9 Ni 0.668 0.834 0.147
10 Ni 0.000 0.000 0.000
11 Ni 0.166 0.332 0.353
12 Ni 0.000 0.000 0.500
13 Ni 0.668 0.834 0.353
14 Ni 0.166 0.834 0.353
15 B 0.333 0.667 0.250
16 B 0.000 0.000 0.750
17 B 0.000 0.000 0.250
18 B 0.667 0.333 0.750
19 Lu 0.667 0.333 0.250
20 Lu 0.333 0.667 0.533
21 Lu 0.333 0.667 0.967
22 Lu 0.667 0.333 0.033
23 Lu 0.333 0.667 0.750
24 Lu 0.667 0.333 0.467

Computed properties:
theoretical density = 10.8 g/cm³
calculated total energy = -6.588 eV/atom
E_form = -0.608 eV/atom

***

(13)
The following is a DFT calculation (PBEsol) of crystalline Zn2NiTe at its relaxed geometry.

abc: 4.542 4.542 4.542
angles: 60.00 60.00 60.00
Sites, in units of the cell vectors:
1 Zn 0.250 0.250 0.250
2 Zn 0.750 0.750 0.750
3 Ni 0.000 0.000 0.000
4 Te 0.500 0.500 0.500

Computed properties:
theoretical density = 7.9 g/cm³
polymorph energy (0 for the lowest one) = 137 kJ/mol of formula units
calculated total energy = -2.858 eV/atom
energy relative to the elements, uncorrected = 34.14 kJ per mole of atoms

***

(14)
The following is a DFT calculation (PBEsol) of crystalline MnAl2Co at its relaxed geometry.

abc: 3.997 4.085 3.997
angles: 60.71 90.00 119.29
Site moments in Bohr magnetons follow the coordinates.
Sites, in units of the cell vectors:
1 Co 0.000 0.000 0.000  0.07
2 Al 0.250 0.500 0.250  -0.02
3 Al 0.750 0.500 0.750  -0.02
4 Mn 0.500 0.000 0.500  1.56

Computed properties:
theoretical density = 5.9 g/cm³
calculated total energy = -6.752 eV/atom
E_form = -0.331 eV/atom

***

(15)
The following is a DFT calculation (PBEsol) of crystalline Zr2InRu at its relaxed geometry.

abc: 3.715 4.808 5.265
angles: 117.17 110.66 90.00
Sites, in units of the cell vectors:
1 Ru 0.000 0.500 0.000
2 In 0.500 0.000 0.000
3 Zr 0.284 0.284 0.567
4 Zr 0.716 0.716 0.433

Computed properties:
theoretical density = 8.6 g/cm³
calculated total energy = -8.139 eV/atom
E_form = -0.305 eV/atom

***

(16)
The following is a DFT calculation (PBEsol) of crystalline TaTl2Os at its relaxed geometry.

abc: 3.121 3.121 8.582
angles: 90.00 90.00 90.00
Sites, in units of the cell vectors:
1 Tl 0.000 0.000 0.964
2 Tl 0.500 0.500 0.289
3 Os 0.000 0.000 0.544
4 Ta 0.500 0.500 0.703

Computed properties:
theoretical density = 15.5 g/cm³
polymorph energy (0 for the lowest one) = 12 kJ/mol of formula units
calculated total energy = -7.196 eV/atom
E_form = 0.311 eV/atom

***

(17)
The following is a DFT calculation (PBEsol) of crystalline Sb2Ru3 at its relaxed geometry.

abc: 3.032 3.032 10.469
angles: 81.67 81.67 60.00
Sites, in units of the cell vectors:
1 Ru 0.198 0.198 0.405
2 Ru 0.000 0.000 0.000
3 Ru 0.802 0.802 0.595
4 Sb 0.600 0.600 0.199
5 Sb 0.400 0.400 0.801

Computed properties:
theoretical density = 11.0 g/cm³
calculated total energy = -7.620 eV/atom
energy relative to the elements, uncorrected = 29.57 kJ per mole of atoms

***

(18)
The following is a DFT calculation (PBEsol) of crystalline La2AlHg at its relaxed geometry.

abc: 3.786 5.024 5.504
angles: 90.00 90.00 90.00
Sites, in units of the cell vectors:
1 La 0.000 0.000 0.056
2 La 0.000 0.500 0.686
3 Al 0.500 0.000 0.543
4 Hg 0.500 0.500 0.215

Computed properties:
theoretical density = 8.0 g/cm³
polymorph energy (0 for the lowest one) = 0 kJ/mol of formula units
calculated total energy = -4.277 eV/atom
E_form = -0.439 eV/atom

***

(19)
The following is a DFT calculation (PBEsol) of crystalline ErTlO3 at its relaxed geometry.

abc: 4.332 4.332 4.332
angles: 90.00 90.00 90.00
Site moments in Bohr magnetons follow the coordinates.
Sites, in units of the cell vectors:
1 O 0.500 0.000 0.500  0.51
2 O 0.500 0.500 0.000  0.51
3 O 0.000 0.500 0.500  0.51
4 Tl 0.000 0.000 0.000  0.14
5 Er 0.500 0.500 0.500  0.01

Computed properties:
theoretical density = 8.6 g/cm³
calculated total energy = -6.200 eV/atom
energy relative to the elements, uncorrected = -148.50 kJ per mole of atoms

***

(20)
The following is a DFT calculation (PBEsol) of crystalline TlCd2Ge2 at its relaxed geometry.

abc: 4.557 4.557 6.453
angles: 110.68 110.68 90.00
Sites, in units of the cell vectors:
1 Ge 0.391 0.391 0.782
2 Ge 0.609 0.609 0.218
3 Tl 0.000 0.000 0.000
4 Cd 0.750 0.250 0.500
5 Cd 0.250 0.750 0.500

Computed properties:
theoretical density = 8.2 g/cm³
polymorph energy (0 for the lowest one) = 0 kJ/mol of formula units
calculated total energy = -2.877 eV/atom
E_form = 0.103 eV/atom

***

(21)
The following is a DFT calculation (PBEsol) of crystalline TcSb2Pb at its relaxed geometry.

abc: 3.312 3.312 9.905
angles: 80.38 80.38 60.00
Sites, in units of the cell vectors:
1 Sb 0.768 0.768 0.697
2 Sb 0.232 0.232 0.303
3 Pb 0.000 0.000 0.000
4 Tc 0.500 0.500 0.500

Computed properties:
theoretical density = 9.9 g/cm³
calculated total energy = -6.038 eV/atom
energy relative to the elements, uncorrected = 5.48 kJ per mole of atoms

***

(22)
The following is a DFT calculation (PBEsol) of crystalline AsRu2W at its relaxed geometry.

abc: 2.914 4.406 5.103
angles: 115.57 106.59 90.00
Sites, in units of the cell vectors:
1 W 0.500 0.000 0.000
2 Ru 0.724 0.724 0.449
3 Ru 0.276 0.276 0.551
4 As 0.000 0.500 0.000

Computed properties:
theoretical density = 13.7 g/cm³
calculated total energy = -9.761 eV/atom
E_form = 0.054 eV/atom

***

(23)
The following is a DFT calculation (PBEsol) of crystalline IBrO2F at its relaxed geometry.

abc: 3.738 3.738 7.725
angles: 90.00 90.00 90.00
Sites, in units of the cell vectors:
1 O 0.500 0.000 0.000
2 O 0.000 0.500 0.000
3 Br 0.000 0.000 0.000
4 I 0.000 0.000 0.500
5 F 0.500 0.500 0.500

Computed properties:
theoretical density = 4.0 g/cm³
calculated total energy = -2.896 eV/atom
energy relative to the elements, uncorrected = 30.50 kJ per mole of atoms

***

(24)
The following is a DFT calculation (PBEsol) of crystalline Mg3ZrTi at its relaxed geometry.

abc: 4.958 4.958 4.958
angles: 90.00 90.00 90.00
Site moments in Bohr magnetons follow the coordinates.
Sites, in units of the cell vectors:
1 Zr 0.500 0.500 0.500  -0.39
2 Mg 0.000 0.500 0.000  0.07
3 Mg 0.000 0.000 0.500  0.07
4 Mg 0.500 0.000 0.000  0.07
5 Ti 0.000 0.000 0.000  1.90

Computed properties:
theoretical density = 2.9 g/cm³
calculated total energy = -3.425 eV/atom
E_form = 1.088 eV/atom

***

(25)
The following is a DFT calculation (PBEsol) of crystalline SiTcH2I at its relaxed geometry.

abc: 3.808 3.808 5.150
angles: 90.00 90.00 90.00
Site moments in Bohr magnetons follow the coordinates.
Sites, in units of the cell vectors:
1 H 0.000 0.500 0.000  -0.01
2 H 0.500 0.000 0.000  -0.01
3 Si 0.500 0.500 0.500  -0.03
4 Tc 0.000 0.000 0.000  0.80
5 I 0.000 0.000 0.500  0.01

Computed properties:
theoretical density = 5.7 g/cm³
calculated total energy = -4.115 eV/atom

***

(26)
The following is a DFT calculation (PBEsol) of crystalline Sb2MoSeCl at its relaxed geometry.

abc: 4.476 5.242 5.242
angles: 90.00 90.00 90.00
Sites, in units of the cell vectors:
1 Mo 0.000 0.000 0.000
2 Sb 0.000 0.500 0.000
3 Sb 0.000 0.000 0.500
4 Cl 0.500 0.000 0.000
5 Se 0.500 0.500 0.500

Computed properties:
theoretical density = 6.1 g/cm³
calculated total energy = -5.160 eV/atom
energy relative to the elements, uncorrected = 18.17 kJ per mole of atoms

***

(27)
The following is a DFT calculation (PBEsol) of crystalline CsAsPSe2 at its relaxed geometry.

abc: 6.672 6.672 7.118
angles: 90.00 90.00 90.00
Site moments in Bohr magnetons follow the coordinates.
Sites, in units of the cell vectors:
1 As 0.000 0.000 0.500  1.23
2 Se 0.500 0.000 0.000  0.88
3 Se 0.000 0.500 0.000  0.88
4 Cs 0.000 0.000 0.000  0.10
5 P 0.500 0.500 0.500  1.20

Computed properties:
theoretical density = 2.1 g/cm³
calculated total energy = -1.986 eV/atom
energy relative to the elements, uncorrected = 185.47 kJ per mole of atoms

***

(28)
The following is a DFT calculation (PBEsol) of crystalline CoRuCl2 at its relaxed geometry.

abc: 2.998 2.998 5.988
angles: 90.00 90.00 90.00
Site moments in Bohr magnetons follow the coordinates.
Sites, in units of the cell vectors:
1 Co 0.500 0.500 0.000  1.60
2 Cl 0.000 0.000 0.756  0.07
3 Cl 0.000 0.000 0.244  0.07
4 Ru 0.500 0.500 0.500  0.18

Computed properties:
theoretical density = 7.1 g/cm³
polymorph energy (0 for the lowest one) = 110 kJ/mol of formula units
calculated total energy = -4.719 eV/atom
energy relative to the elements, uncorrected = 73.60 kJ per mole of atoms